# 1
This record from Alexandria describes crystalline In2CuRuPt at its relaxed geometry. The functional is PBEsol.

The structure in extended XYZ format:
```
5
Lattice="4.991 0.000 0.000 0.000 4.991 0.000 0.000 0.000 4.966" Properties=species:S:1:pos:R:3 pbc="T T T"
In 0.000 2.495 0.000
In 2.495 0.000 0.000
Cu 0.000 0.000 2.483
Ru 2.495 2.495 2.483
Pt 2.495 2.495 0.000
```

Properties
- Total magnetization: 2.74 Bohr magnetons per cell

# 2
This record from Alexandria describes crystalline In2CuRe at its relaxed geometry. The functional is PBEsol.

The structure in extended XYZ format:
```
4
Lattice="3.349 0.000 0.000 0.000 3.349 0.000 0.000 0.000 5.955" Properties=species:S:1:pos:R:3 pbc="T T T"
In 0.000 0.000 1.476
In 0.000 0.000 4.479
Cu 1.674 1.674 0.000
Re 1.674 1.674 2.977
```

Properties
- Total magnetization: 0.00 Bohr magnetons per cell

# 3
This record from Alexandria describes crystalline InCuRe3 at its relaxed geometry. The functional is PBEsol.

The structure in extended XYZ format:
```
5
Lattice="4.446 0.000 0.000 0.000 4.446 0.000 0.000 0.000 4.446" Properties=species:S:1:pos:R:3 pbc="T T T"
In 0.000 0.000 0.000
Cu 2.223 2.223 2.223
Re 0.000 2.223 2.223
Re 2.223 0.000 2.223
Re 2.223 2.223 0.000
```

Properties
- Total magnetization: 0.00 Bohr magnetons per cell

# 4
This record from Alexandria describes crystalline InCuRe at its relaxed geometry. The functional is PBEsol.

The structure in extended XYZ format:
```
3
Lattice="0.000 3.056 3.056 3.056 0.000 3.056 3.056 3.056 0.000" Properties=species:S:1:pos:R:3 pbc="T T T"
In 0.000 0.000 0.000
Cu 3.056 3.056 3.056
Re 4.585 4.585 4.585
```

Properties
- Total magnetization: 1.87 Bohr magnetons per cell

# 5
This record from Alexandria describes crystalline InCu2Rh at its relaxed geometry. The functional is PBEsol.

The structure in extended XYZ format:
```
4
Lattice="-1.950 1.950 3.681 1.950 -1.950 3.681 1.950 1.950 -3.681" Properties=species:S:1:pos:R:3 pbc="T T T"
In 0.000 0.000 0.000
Cu 0.000 0.000 3.681
Cu 0.000 1.950 1.840
Rh 1.950 0.000 1.840
```

Properties
- Total magnetization: 0.00 Bohr magnetons per cell

# 6
This record from Alexandria describes crystalline InCu2Rh at its relaxed geometry. The functional is PBEsol.

The structure in extended XYZ format:
```
4
Lattice="3.782 0.000 0.000 0.000 3.782 0.000 0.000 0.000 3.901" Properties=species:S:1:pos:R:3 pbc="T T T"
In 0.000 0.000 0.000
Cu 0.000 1.891 1.950
Cu 1.891 0.000 1.950
Rh 1.891 1.891 0.000
```

Properties
- Total magnetization: 0.00 Bohr magnetons per cell

# 7
This record from Alexandria describes crystalline InCu2Rh at its relaxed geometry. The functional is PBEsol.

The structure in extended XYZ format:
```
4
Lattice="3.188 0.000 0.000 0.000 3.188 0.000 0.000 0.000 5.574" Properties=species:S:1:pos:R:3 pbc="T T T"
In 0.000 0.000 0.000
Cu 1.594 1.594 1.492
Cu 1.594 1.594 4.082
Rh 0.000 0.000 2.787
```

Properties
- Total magnetization: 0.00 Bohr magnetons per cell

# 8
This record from Alexandria describes crystalline Y2InCuRu at its relaxed geometry. The functional is PBEsol.

The structure in extended XYZ format:
```
5
Lattice="5.114 0.000 0.000 0.000 5.114 0.000 0.000 0.000 4.784" Properties=species:S:1:pos:R:3 pbc="T T T"
Y 0.000 2.557 0.000
Y 2.557 0.000 0.000
In 0.000 0.000 2.392
Cu 2.557 2.557 2.392
Ru 2.557 2.557 0.000
```

Properties
- Total magnetization: 0.00 Bohr magnetons per cell

no.,DFT formation energy (eV/f.u.),electronic total energy (eV per cell)
1,5.45,-22.0
2,1.80,-21.8
3,9.70,-37.6
4,3.52,-17.1
5,-0.46,-20.3
6,-0.63,-20.4
7,0.23,-19.6
8,0.84,-30.3